First-principles (PBE-GGA) data for a relaxed K2CrCo crystal, as listed in Alexandria via LeMat-Bulk.

Cell lengths 7.0665, 4.0591, 9.8268 Å; angles 90.00, 103.05, 90.00 degrees
Space group Cm (No. 8)
Asymmetric unit:
K 0.0000 0.0000 0.0000 [2 per cell]
K 0.1728 0.0000 0.5526 [2 per cell]
Cr 0.4192 0.0000 0.2762 [2 per cell]
Co 0.2519 0.5000 0.2766 [2 per cell]

D(E_F)	7.78	states/eV/cell
mass density	2.29	g cm⁻³
crystal system	monoclinic
formation energy	0.78	eV/atom
polymorph energy (0 for the lowest one)	0	meV per atom
raw total energy	-15.798	eV per formula unit


First-principles (PBE-GGA) data for a relaxed B5C crystal, as listed in Alexandria via LeMat-Bulk.

Cell lengths 8.5633, 2.8060, 7.7190 Å; angles 90.00, 111.58, 90.00 degrees
Space group C2/m (No. 12)
Asymmetric unit:
B 0.0458 0.0000 0.1271 [4 per cell]
B 0.1060 0.0000 0.5446 [4 per cell]
B 0.1306 0.5000 0.8144 [4 per cell]
B 0.1914 0.0000 0.0010 [4 per cell]
B 0.1914 0.5000 0.4461 [4 per cell]
C 0.0636 0.5000 0.2364 [4 per cell]

D(E_F)	3.97	states/eV/cell
mass density	2.54	g cm⁻³
crystal system	monoclinic
formation energy	0.40	eV/atom
polymorph energy (0 for the lowest one)	202	meV per atom
raw total energy	-40.218	eV per formula unit


First-principles (PBE-GGA) data for a relaxed LaBe2NbGa crystal, as listed in Alexandria via LeMat-Bulk.

Cell lengths 4.6197, 4.6197, 4.9580 Å; angles 90.00, 90.00, 90.00 degrees
Space group P4/mmm (No. 123)
Asymmetric unit:
La 0.0000 0.0000 0.0000 [1 per cell]
Be 0.0000 0.5000 0.5000 [2 per cell]
Nb 0.5000 0.5000 0.5000 [1 per cell]
Ga 0.5000 0.5000 0.0000 [1 per cell]

D(E_F)	4.07	states/eV/cell
mass density	5.01	g cm⁻³
crystal system	tetragonal
formation energy	0.36	eV/atom
raw total energy	-23.681	eV per formula unit